A geometry-optimized TiHIr2Pd structure. Source: the Alexandria database, functional GGA-PBE.

Summary:
E_tot in eV/atom: -7.231

```
data_TiHIr2Pd
_cell_length_a 3.973
_cell_length_b 3.973
_cell_length_c 3.907
_cell_angle_alpha 90.00
_cell_angle_beta 90.00
_cell_angle_gamma 90.00
_symmetry_space_group_name_H-M 'P 4/m m m'
_symmetry_Int_Tables_number 123
_symmetry_space_group_name_Hall '-P 4 2'
loop_
_atom_site_label
_atom_site_fract_x
_atom_site_fract_y
_atom_site_fract_z
Ti1 0.000 0.000 0.000
H1 0.500 0.500 0.500
Ir1 0.000 0.500 0.500
Pd1 0.500 0.500 0.000
```